Entry 1:
DFT (PBE-GGA) results for an optimized crystal structure of CeYTlPb.

The calculation puts the energy at -39.91 eV for the cell shown. Its density is 9.261 g/cm3. The magnetic moment comes out at 0.440 μB per atom. The calculation puts the excess energy over the best structure of this formula in the dataset at 0 meV per atom.

The structure belongs to space group I-4m2 (No. 119); the cell edges are 5.074, 5.074 and 8.921 Å and the angles 90.00°, 90.00° and 90.00°. The inequivalent atoms are Ce at (0.000, 0.000, 0.000), Y at (0.000, 0.000, 0.500), Tl at (0.000, 0.500, 0.750) and Pb at (0.000, 0.500, 0.250).

Entry 2:
DFT (PBE-GGA) results for an optimized crystal structure of CeZrTlPb.

The calculation puts the energy at -84.23 eV for the cell shown. Its density is 10.033 g/cm3. The magnetic moment comes out at 0.582 μB per atom.

The structure belongs to space group F-43m (No. 216); the cell edges are 7.522, 7.522 and 7.522 Å and the angles 90.00°, 90.00° and 90.00°. The inequivalent atoms are Ce at (0.000, 0.000, 0.000), Zr at (0.000, 0.000, 0.500), Tl at (0.250, 0.250, 0.750) and Pb at (0.250, 0.250, 0.250).

Entry 3:
DFT (PBE-GGA) results for an optimized crystal structure of Ce4Tm3Pb4.

The calculation puts the energy at -110.57 eV for the cell shown. Its density is 9.669 g/cm3. The magnetic moment comes out at 0.412 μB per atom.

The structure belongs to space group Immm (No. 71); the cell edges are 3.596, 9.182 and 19.724 Å and the angles 90.00°, 90.00° and 90.00°. The inequivalent atoms are Ce at (0.000, 0.153, 0.159), Tm at (0.000, 0.000, 0.409), Tm at (0.000, 0.500, 0.500), Pb at (0.000, 0.281, 0.000) and Pb at (0.000, 0.500, 0.219).

Entry 4:
DFT (PBE-GGA) results for an optimized crystal structure of CeTm5Pb6.

The calculation puts the energy at -109.97 eV for the cell shown. Its density is 10.587 g/cm3. The magnetic moment comes out at 0.084 μB per atom.

The structure belongs to space group C2/m (No. 12); the cell edges are 6.125, 15.346 and 7.659 Å and the angles 90.00°, 103.87° and 90.00°. The inequivalent atoms are Ce at (0.000, 0.000, 0.000), Tm at (0.000, 0.000, 0.500), Tm at (0.000, 0.328, 0.000), Tm at (0.000, 0.342, 0.500), Pb at (0.002, 0.171, 0.740) and Pb at (0.015, 0.500, 0.241).

Entry 5:
DFT (PBE-GGA) results for an optimized crystal structure of Ce3TmPb3.

The calculation puts the energy at -138.69 eV for the cell shown. Its density is 8.866 g/cm3. The magnetic moment comes out at 0.539 μB per atom.

The structure belongs to space group C2/m (No. 12); the cell edges are 8.189, 12.970 and 8.631 Å and the angles 90.00°, 98.27° and 90.00°. The inequivalent atoms are Ce at (0.000, 0.176, 0.000), Ce at (0.000, 0.239, 0.500), Ce at (0.131, 0.500, 0.912), Tm at (0.207, 0.500, 0.481), Pb at (0.001, 0.000, 0.259) and Pb at (0.193, 0.335, 0.220).

Entry 6:
DFT (PBE-GGA) results for an optimized crystal structure of CeTmPb4.

The calculation puts the energy at -25.57 eV for the cell shown. Its density is 9.168 g/cm3. The magnetic moment comes out at 0.156 μB per atom.

The structure belongs to space group P4/mmm (No. 123); the cell edges are 5.308, 5.308 and 7.313 Å and the angles 90.00°, 90.00° and 90.00°. The inequivalent atoms are Ce at (0.000, 0.000, 0.000), Tm at (0.500, 0.500, 0.500) and Pb at (0.000, 0.500, 0.266).

Entry 7:
DFT (PBE-GGA) results for an optimized crystal structure of Ce2Tm3Pb3.

The calculation puts the energy at -79.51 eV for the cell shown. Its density is 9.918 g/cm3. The magnetic moment comes out at 0.290 μB per atom. The calculation puts the excess energy over the best structure of this formula in the dataset at 0 meV per atom.

The structure belongs to space group P6_3/mcm (No. 193); the cell edges are 9.2388, 9.2388 and 6.3812 Å and the angles 90.00°, 90.00° and 120.00°. The inequivalent atoms are Ce at (0.3333, 0.6667, 0.0000), Tm at (0.0000, 0.2359, 0.2500) and Pb at (0.0000, 0.3848, 0.7500).

Entry 8:
DFT (PBE-GGA) results for an optimized crystal structure of Ce5TmPb6.

The calculation puts the energy at -119.70 eV for the cell shown. Its density is 8.921 g/cm3. The magnetic moment comes out at 0.068 μB per atom. The calculation puts the excess energy over the best structure of this formula in the dataset at 98 meV per atom.

The structure belongs to space group C2/m (No. 12); the cell edges are 7.835, 13.579 and 7.842 Å and the angles 90.00°, 109.49° and 90.00°. The inequivalent atoms are Ce at (0.000, 0.000, 0.000), Ce at (0.000, 0.166, 0.500), Ce at (0.000, 0.333, 0.000), Tm at (0.000, 0.500, 0.500), Pb at (0.249, 0.334, 0.748) and Pb at (0.249, 0.500, 0.250).

Entry 9:
DFT (PBE-GGA) results for an optimized crystal structure of CeTm7Pb4.

The calculation puts the energy at -104.82 eV for the cell shown. Its density is 9.867 g/cm3. The magnetic moment comes out at 0.124 μB per atom.

The structure belongs to space group C2/m (No. 12); the cell edges are 12.749, 5.540 and 11.606 Å and the angles 90.00°, 117.93° and 90.00°. The inequivalent atoms are Ce at (0.000, 0.000, 0.000), Tm at (0.000, 0.500, 0.000), Tm at (0.035, 0.000, 0.374), Tm at (0.155, 0.500, 0.571), Tm at (0.219, 0.000, 0.895), Pb at (0.098, 0.500, 0.797) and Pb at (0.200, 0.500, 0.321).

Entry 10:
DFT (PBE-GGA) results for an optimized crystal structure of Ce3TmPb2.

The calculation puts the energy at -123.49 eV for the cell shown. Its density is 9.889 g/cm3. The magnetic moment comes out at 0.255 μB per atom.

The structure belongs to space group C2/m (No. 12); the cell edges are 18.114, 4.946 and 8.433 Å and the angles 90.00°, 116.84° and 90.00°. The inequivalent atoms are Ce at (0.067, 0.000, 0.466), Ce at (0.128, 0.500, 0.666), Ce at (0.207, 0.500, 0.455), Tm at (0.114, 0.000, 0.057), Pb at (0.011, 0.500, 0.192) and Pb at (0.248, 0.500, 0.128).

Entry 11:
DFT (PBE-GGA) results for an optimized crystal structure of Ce2Tm3Pb3.

The calculation puts the energy at -77.75 eV for the cell shown. Its density is 10.400 g/cm3. The magnetic moment comes out at 0.169 μB per atom. The calculation puts the excess energy over the best structure of this formula in the dataset at 110 meV per atom.

The structure belongs to space group Immm (No. 71); the cell edges are 4.377, 4.687 and 21.925 Å and the angles 90.00°, 90.00° and 90.00°. The inequivalent atoms are Ce at (0.000, 0.000, 0.248), Tm at (0.000, 0.000, 0.000), Tm at (0.000, 0.500, 0.119), Pb at (0.000, 0.000, 0.500) and Pb at (0.000, 0.500, 0.367).

Entry 12:
DFT (PBE-GGA) results for an optimized crystal structure of CeTmPb3.

The calculation puts the energy at -89.96 eV for the cell shown. Its density is 9.774 g/cm3. The magnetic moment comes out at 0.187 μB per atom.

The structure belongs to space group Pnma (No. 62); the cell edges are 9.770, 9.110 and 7.106 Å and the angles 90.00°, 90.00° and 90.00°. The inequivalent atoms are Ce at (0.092, 0.250, 0.058), Tm at (0.000, 0.000, 0.500), Pb at (0.162, 0.750, 0.240) and Pb at (0.203, 0.563, 0.843).

Entry 13:
DFT (PBE-GGA) results for an optimized crystal structure of Ce2TmPb.

The calculation puts the energy at -42.19 eV for the cell shown. Its density is 9.808 g/cm3. The magnetic moment comes out at 0.000 μB per atom. The calculation puts the excess energy over the best structure of this formula in the dataset at 0 meV per atom.

The structure belongs to space group P2_1/m (No. 11); the cell edges are 4.479, 4.373 and 11.520 Å and the angles 90.00°, 99.92° and 90.00°. The inequivalent atoms are Ce at (0.001, 0.250, 0.383), Ce at (0.398, 0.750, 0.386), Tm at (0.308, 0.250, 0.114) and Pb at (0.178, 0.250, 0.838).

Entry 14:
DFT (PBE-GGA) results for an optimized crystal structure of Ce3TmPb5.

The calculation puts the energy at -89.24 eV for the cell shown. Its density is 10.207 g/cm3. The magnetic moment comes out at 0.213 μB per atom.

The structure belongs to space group P6_3/mcm (No. 193); the cell edges are 9.6015, 9.6015 and 6.6240 Å and the angles 90.00°, 90.00° and 120.00°. The inequivalent atoms are Ce at (0.0000, 0.3837, 0.2500), Tm at (0.0000, 0.0000, 0.0000), Pb at (0.0000, 0.2807, 0.7500) and Pb at (0.3333, 0.6667, 0.0000).

Entry 15:
DFT (PBE-GGA) results for an optimized crystal structure of CeTm5Pb2.

The calculation puts the energy at -147.38 eV for the cell shown. Its density is 9.486 g/cm3. The magnetic moment comes out at 0.121 μB per atom.

The structure belongs to space group Cmcm (No. 63); the cell edges are 4.901, 11.823 and 16.908 Å and the angles 90.00°, 90.00° and 90.00°. The inequivalent atoms are Ce at (0.000, 0.209, 0.250), Tm at (0.000, 0.063, 0.750), Tm at (0.000, 0.131, 0.040), Tm at (0.000, 0.450, 0.101) and Pb at (0.000, 0.261, 0.624).

Entry 16:
DFT (PBE-GGA) results for an optimized crystal structure of Ce2Tm2Pb3.

The calculation puts the energy at -67.65 eV for the cell shown. Its density is 9.867 g/cm3. The magnetic moment comes out at 0.346 μB per atom. The calculation puts the excess energy over the best structure of this formula in the dataset at 0 meV per atom.

The structure belongs to space group Cmmm (No. 65); the cell edges are 3.507, 32.877 and 3.619 Å and the angles 90.00°, 90.00° and 90.00°. The inequivalent atoms are Ce at (0.000, 0.070, 0.000), Tm at (0.000, 0.204, 0.000), Pb at (0.000, 0.360, 0.500) and Pb at (0.000, 0.500, 0.500).

Entry 17:
DFT (PBE-GGA) results for an optimized crystal structure of Ce2TmPb.

The calculation puts the energy at -58.29 eV for the cell shown. Its density is 8.739 g/cm3. The magnetic moment comes out at 0.491 μB per atom. The calculation puts the excess energy over the best structure of this formula in the dataset at 416 meV per atom.

The structure belongs to space group R-3m (No. 166, hexagonal axes); the cell edges are 3.4233, 3.4233 and 36.8648 Å and the angles 90.00°, 90.00° and 120.00°. The inequivalent atoms are Ce at (0.0000, 0.0000, 0.0891), Tm at (0.0000, 0.0000, 0.5000) and Pb at (0.0000, 0.0000, 0.0000).

Entry 18:
DFT (PBE-GGA) results for an optimized crystal structure of Ce8TmPb6.

The calculation puts the energy at -229.99 eV for the cell shown. Its density is 8.728 g/cm3. The magnetic moment comes out at 0.353 μB per atom.

The structure belongs to space group R-3 (No. 148, hexagonal axes); the cell edges are 8.0045, 8.0045 and 26.0545 Å and the angles 90.00°, 90.00° and 120.00°. The inequivalent atoms are Ce at (0.0000, 0.0000, 0.1611), Ce at (0.0017, 0.2881, 0.9696), Tm at (0.0000, 0.0000, 0.5000) and Pb at (0.9999, 0.3673, 0.0971).

Entry 19:
DFT (PBE-GGA) results for an optimized crystal structure of Ce2Tm2Pb3.

The calculation puts the energy at -67.35 eV for the cell shown. Its density is 9.433 g/cm3. The magnetic moment comes out at 0.394 μB per atom. The calculation puts the excess energy over the best structure of this formula in the dataset at 22 meV per atom.

The structure belongs to space group C2/m (No. 12); the cell edges are 12.162, 4.525 and 8.359 Å and the angles 90.00°, 108.44° and 90.00°. The inequivalent atoms are Ce at (0.112, 0.000, 0.296), Tm at (0.122, 0.500, 0.931), Pb at (0.000, 0.500, 0.500) and Pb at (0.193, 0.000, 0.713).

Entry 20:
DFT (PBE-GGA) results for an optimized crystal structure of CeTm4Pb2.

The calculation puts the energy at -65.09 eV for the cell shown. Its density is 9.782 g/cm3. The magnetic moment comes out at 0.135 μB per atom.

The structure belongs to space group P2_1/m (No. 11); the cell edges are 8.016, 6.587 and 8.730 Å and the angles 90.00°, 115.03° and 90.00°. The inequivalent atoms are Ce at (0.106, 0.250, 0.364), Tm at (0.185, 0.750, 0.067), Tm at (0.342, 0.003, 0.779), Tm at (0.457, 0.750, 0.487), Pb at (0.046, 0.750, 0.360) and Pb at (0.272, 0.250, 0.087).

Entry 21:
DFT (PBE-GGA) results for an optimized crystal structure of Ce2TmPb.

The calculation puts the energy at -80.78 eV for the cell shown. Its density is 9.141 g/cm3. The magnetic moment comes out at 0.803 μB per atom. The calculation puts the excess energy over the best structure of this formula in the dataset at 225 meV per atom.

The structure belongs to space group Fm-3m (No. 225); the cell edges are 7.813, 7.813 and 7.813 Å and the angles 90.00°, 90.00° and 90.00°. The inequivalent atoms are Ce at (0.250, 0.250, 0.250), Tm at (0.000, 0.000, 0.000) and Pb at (0.000, 0.000, 0.500).

Entry 22:
DFT (PBE-GGA) results for an optimized crystal structure of Ce2TmPb3.

The calculation puts the energy at -59.61 eV for the cell shown. Its density is 10.225 g/cm3. The magnetic moment comes out at 0.490 μB per atom. The calculation puts the excess energy over the best structure of this formula in the dataset at 0 meV per atom.

The structure belongs to space group Cmmm (No. 65); the cell edges are 5.074, 15.182 and 4.515 Å and the angles 90.00°, 90.00° and 90.00°. The inequivalent atoms are Ce at (0.000, 0.166, 0.000), Tm at (0.000, 0.500, 0.000), Pb at (0.000, 0.000, 0.500) and Pb at (0.000, 0.338, 0.500).